A plane-wave DFT calculation with PBE was carried out for a relaxed structure of Mg3GaTe4.

Cell: 9.2628 8.0088 7.5062 Å, 90.00 90.00 90.00°
Sites, in units of the cell vectors:
Mg: 0.0000 0.1632 0.0000
Mg: 0.2494 0.3344 0.5039
Mg: 0.2506 0.6656 0.0039
Mg: 0.5000 0.8368 0.5000
Mg: 0.7494 0.6656 0.0039
Mg: 0.7506 0.3344 0.5039
Ga: 0.0000 0.8270 0.5055
Ga: 0.5000 0.1730 0.0055
Te: 0.0000 0.1665 0.6251
Te: 0.0000 0.8319 0.1237
Te: 0.2438 0.3338 0.1280
Te: 0.2562 0.6662 0.6280
Te: 0.5000 0.1681 0.6237
Te: 0.5000 0.8335 0.1251
Te: 0.7438 0.6662 0.6280
Te: 0.7562 0.3338 0.1280

Output
Raw total energy in eV/atom: -3.199
Spin magnetization in μB per formula unit: 0.000
Crystal system: orthorhombic
Formation energy (no corrections) in meV/atom: -652